1.
MgBeIO2: relaxed, PBE.

The structure belongs to space group P4/mmm (No. 123); the cell edges are 3.8013, 3.8013 and 6.2805 Å and the angles 90.00°, 90.00° and 90.00°. The distinct sites, in fractional coordinates, are Mg at (0.0000, 0.0000, 0.0000), Be at (0.5000, 0.5000, 0.5000), I at (0.0000, 0.0000, 0.5000) and O at (0.0000, 0.5000, 0.0000).

Its formation energy (no corrections) is -1.174 eV/f.u. The energy above the most stable polymorph in this dataset comes out at 272 meV/atom. The total energy is -17.962 eV per cell.

***

2.
MgBeI2O: relaxed, PBE.

The structure belongs to space group P4/mmm (No. 123); the cell edges are 6.7086, 6.7086 and 2.9602 Å and the angles 90.00°, 90.00° and 90.00°. The distinct sites, in fractional coordinates, are Mg at (0.0000, 0.0000, 0.0000), Be at (0.5000, 0.5000, 0.5000), I at (0.0000, 0.5000, 0.5000) and O at (0.5000, 0.5000, 0.0000).

Its formation energy (no corrections) is -4.033 eV/f.u. The energy above the most stable polymorph in this dataset comes out at 0 meV/atom. The total energy is -17.412 eV per cell.

***

3.
MgBeIO2: relaxed, PBE.

The structure belongs to space group P4/mmm (No. 123); the cell edges are 3.7392, 3.7392 and 5.3073 Å and the angles 90.00°, 90.00° and 90.00°. The distinct sites, in fractional coordinates, are Mg at (0.0000, 0.0000, 0.0000), Be at (0.5000, 0.5000, 0.5000), I at (0.5000, 0.5000, 0.0000) and O at (0.0000, 0.5000, 0.5000).

Its formation energy (no corrections) is -2.537 eV/f.u. The energy above the most stable polymorph in this dataset comes out at 0 meV/atom. The total energy is -19.324 eV per cell.